A plane-wave DFT calculation with PBE was carried out for a relaxed structure of LaZnGa.

Computed properties:
Uncorrected energy   -3.6351 eV per atom
Crystal system   trigonal

Geometry as CIF:
```
data_LaZnGa
_cell_length_a 4.5771
_cell_length_b 4.5771
_cell_length_c 7.6665
_cell_angle_alpha 90.00
_cell_angle_beta 90.00
_cell_angle_gamma 120.00
_space_group_name_H-M_alt 'P 3 m 1'
_space_group_IT_number 156
loop_
_space_group_symop_operation_xyz
'x,y,z'
'-y,x-y,z'
'-x+y,-x,z'
'-y,-x,z'
'-x+y,y,z'
'x,x-y,z'
loop_
_atom_site_label
_atom_site_type_symbol
_atom_site_fract_x
_atom_site_fract_y
_atom_site_fract_z
La1 La 0.0000 0.0000 0.0000
La2 La 0.0000 0.0000 0.5001
Zn1 Zn 0.3333 0.6667 0.2811
Zn2 Zn 0.6667 0.3333 0.7825
Ga1 Ga 0.3333 0.6667 0.7176
Ga2 Ga 0.6667 0.3333 0.2167
```



A plane-wave DFT calculation with PBE was carried out for a relaxed structure of LaZnGa.

Computed properties:
Uncorrected energy   -3.6121 eV per atom
Crystal system   hexagonal

Geometry as CIF:
```
data_LaZnGa
_cell_length_a 4.5312
_cell_length_b 4.5312
_cell_length_c 7.9120
_cell_angle_alpha 90.00
_cell_angle_beta 90.00
_cell_angle_gamma 120.00
_space_group_name_H-M_alt 'P 63/m m c'
_space_group_IT_number 194
_space_group_name_Hall '-P 6c 2c'
loop_
_atom_site_label
_atom_site_type_symbol
_atom_site_fract_x
_atom_site_fract_y
_atom_site_fract_z
La1 La 0.0000 0.0000 0.0000
Zn1 Zn 0.3333 0.6667 0.2500
Ga1 Ga 0.3333 0.6667 0.7500
```



A plane-wave DFT calculation with PBE was carried out for a relaxed structure of LaZnGa.

Computed properties:
Uncorrected energy   -3.6349 eV per atom
Crystal system   hexagonal

Geometry as CIF:
```
data_LaZnGa
_cell_length_a 4.5781
_cell_length_b 4.5781
_cell_length_c 7.6602
_cell_angle_alpha 90.00
_cell_angle_beta 90.00
_cell_angle_gamma 120.00
_space_group_name_H-M_alt 'P 63 m c'
_space_group_IT_number 186
_space_group_name_Hall 'P 6c -2c'
loop_
_atom_site_label
_atom_site_type_symbol
_atom_site_fract_x
_atom_site_fract_y
_atom_site_fract_z
La1 La 0.0000 0.0000 0.0000
Zn1 Zn 0.3333 0.6667 0.2824
Ga1 Ga 0.3333 0.6667 0.7166
```